Entry 1:
Compound: Th6TlTe3Os2
Source: Alexandria
Functional: PBE
Structure: optimized geometry

- Raw total energy: -7.30 eV per atom
- Uncorrected formation energy: -0.740 eV per atom

Lattice parameters (Å, degrees): 4.298 9.183 10.019 106.63 102.38 90.00
Fractional coordinates of all 12 atoms:
Tl 0.500 0.000 0.000
Th 0.977 0.739 0.955
Th 0.023 0.261 0.045
Th 0.321 0.438 0.641
Th 0.679 0.562 0.359
Th 0.330 0.868 0.661
Th 0.670 0.132 0.339
Te 0.500 0.500 0.000
Te 0.842 0.160 0.684
Te 0.158 0.840 0.316
Os 0.170 0.342 0.341
Os 0.830 0.658 0.659

=====

Entry 2:
Compound: Dy4Ho9Cd11
Source: Alexandria
Functional: PBE
Structure: optimized geometry

- Raw total energy: -3.13 eV per atom
- DFT formation energy: -0.2301 eV per atom

Lattice parameters (Å, degrees): 13.842 13.842 3.507 90.00 90.00 109.56
Site moments in Bohr magnetons follow the coordinates.
Fractional coordinates of all 24 atoms:
Cd 0.588 0.950 0.000  0.00
Cd 0.819 0.181 0.000  0.00
Cd 0.950 0.588 0.000  0.00
Cd 0.629 0.371 0.000  0.00
Cd 0.213 0.213 0.000  0.00
Cd 0.787 0.787 0.000  0.00
Cd 0.412 0.050 0.000  0.00
Cd 0.000 0.000 0.000  0.00
Cd 0.371 0.629 0.000  0.00
Cd 0.050 0.412 0.000  0.00
Cd 0.181 0.819 0.000  0.00
Dy 0.582 0.750 0.500  0.12
Dy 0.750 0.582 0.500  0.12
Dy 0.250 0.418 0.500  0.12
Dy 0.418 0.250 0.500  0.12
Ho 0.500 0.500 0.500  0.24
Ho 0.618 0.155 0.500  0.00
Ho 0.981 0.794 0.500  0.05
Ho 0.019 0.206 0.500  0.05
Ho 0.382 0.845 0.500  0.00
Ho 0.155 0.618 0.500  0.00
Ho 0.206 0.019 0.500  0.05
Ho 0.794 0.981 0.500  0.05
Ho 0.845 0.382 0.500  0.00